First-principles (PBE-GGA) data for a geometry-optimized Sm3InCo structure, as listed in Alexandria via LeMat-Bulk.

Results
N(E_F), states/eV/atom: 0.883
M_tot, μB per cell: 0.0
ΔE to the lowest computed polymorph, meV per atom: 22
DFT formation energy, eV per atom: -0.190

Geometry as POSCAR:
```
Sm3InCo
1.0
5.799 -3.670 0.000
5.799 3.670 0.000
-5.668 0.000 6.459
Sm In Co
6 2 2
direct
0.000 0.000 0.000 Sm
0.090 0.574 0.172 Sm
0.517 0.997 0.544 Sm
0.573 0.573 0.705 Sm
0.574 0.090 0.172 Sm
0.997 0.517 0.544 Sm
0.091 0.091 0.701 In
0.514 0.514 0.034 In
0.050 0.050 0.364 Co
0.280 0.280 0.362 Co
```

First-principles (PBE-GGA) data for a geometry-optimized Sc4FeAg structure, as listed in Alexandria via LeMat-Bulk.

Results
N(E_F), states/eV/atom: 1.494
M_tot, μB per cell: 2.0
ΔE to the lowest computed polymorph, meV per atom: 713
DFT formation energy, eV per atom: 0.546

Geometry as POSCAR:
```
Sc4FeAg
1.0
0.000 3.992 3.992
3.992 0.000 3.992
3.992 3.992 0.000
Sc Fe Ag
4 1 1
direct
0.376 0.376 0.376 Sc
0.376 0.376 0.873 Sc
0.376 0.873 0.376 Sc
0.873 0.376 0.376 Sc
0.750 0.750 0.750 Fe
0.000 0.000 0.000 Ag
```

E_tot in eV per atom, matching the order above: -4.991; -5.560